No. 1
Material: ZrBe3W
Method: DFT, GGA-PBE
State: relaxed Values from VASP.

Cell and atoms, written as Quantum ESPRESSO input:
```
&SYSTEM
  ibrav = 0, nat = 5, ntyp = 3
/
ATOMIC_SPECIES
Zr 91.22 Zr.upf
Be 9.01 Be.upf
W 183.84 W.upf
CELL_PARAMETERS angstrom
4.252 0.000 0.000
0.000 4.252 0.000
0.000 0.000 4.252
ATOMIC_POSITIONS crystal
Zr 0.000 0.000 0.000
Be 0.000 0.500 0.500
Be 0.500 0.000 0.500
Be 0.500 0.500 0.000
W 0.500 0.500 0.500
```

Computed properties:
- space-group type = Pm-3m
- calculated formation energy (kcal/mol of atoms) = 16.92
- energy relative to the lowest polymorph listed for this composition (kJ/mol of formula units) = 0.0

No. 2
Material: YBe7
Method: DFT, GGA-PBE
State: relaxed Values from VASP.

Cell and atoms, written as Quantum ESPRESSO input:
```
&SYSTEM
  ibrav = 0, nat = 8, ntyp = 2
/
ATOMIC_SPECIES
Y 88.91 Y.upf
Be 9.01 Be.upf
CELL_PARAMETERS angstrom
0.000 3.656 3.656
3.656 0.000 3.656
3.656 3.656 0.000
ATOMIC_POSITIONS crystal
Y 0.000 0.000 0.000
Be 0.000 0.000 0.500
Be 0.000 0.500 0.000
Be 0.000 0.500 0.500
Be 0.500 0.000 0.000
Be 0.500 0.000 0.500
Be 0.500 0.500 0.000
Be 0.500 0.500 0.500
```

Computed properties:
- space-group type = Fm-3m
- calculated formation energy (kcal/mol of atoms) = 16.59

No. 3
Material: YBe
Method: DFT, GGA-PBE
State: relaxed Values from VASP.

Cell and atoms, written as Quantum ESPRESSO input:
```
&SYSTEM
  ibrav = 0, nat = 8, ntyp = 2
/
ATOMIC_SPECIES
Y 88.91 Y.upf
Be 9.01 Be.upf
CELL_PARAMETERS angstrom
0.000 4.465 5.405
3.514 0.000 5.405
3.514 4.465 0.000
ATOMIC_POSITIONS crystal
Y 0.074 0.676 0.074
Y 0.324 0.926 0.324
Y 0.676 0.074 0.676
Y 0.926 0.324 0.926
Be 0.224 0.526 0.526
Be 0.474 0.776 0.776
Be 0.526 0.224 0.224
Be 0.776 0.474 0.474
```

Computed properties:
- space-group type = Fddd
- calculated formation energy (kcal/mol of atoms) = 4.48
- energy relative to the lowest polymorph listed for this composition (kJ/mol of formula units) = 29.5

No. 4
Material: YBe
Method: DFT, GGA-PBE
State: relaxed Values from VASP.

Cell and atoms, written as Quantum ESPRESSO input:
```
&SYSTEM
  ibrav = 0, nat = 2, ntyp = 2
/
ATOMIC_SPECIES
Y 88.91 Y.upf
Be 9.01 Be.upf
CELL_PARAMETERS angstrom
0.000 2.845 2.845
2.845 0.000 2.845
2.845 2.845 0.000
ATOMIC_POSITIONS crystal
Y 0.000 0.000 0.000
Be 0.500 0.500 0.500
```

Computed properties:
- space-group type = Fm-3m
- calculated formation energy (kcal/mol of atoms) = 10.38
- energy relative to the lowest polymorph listed for this composition (kJ/mol of formula units) = 78.9

No. 5
Material: YBe
Method: DFT, GGA-PBE
State: relaxed Values from VASP.

Cell and atoms, written as Quantum ESPRESSO input:
```
&SYSTEM
  ibrav = 0, nat = 16, ntyp = 2
/
ATOMIC_SPECIES
Y 88.91 Y.upf
Be 9.01 Be.upf
CELL_PARAMETERS angstrom
9.698 0.000 0.000
0.000 9.698 0.000
0.000 0.000 3.731
ATOMIC_POSITIONS crystal
Y 0.017 0.233 0.000
Y 0.233 0.983 0.000
Y 0.289 0.662 0.500
Y 0.338 0.289 0.500
Y 0.662 0.711 0.500
Y 0.711 0.338 0.500
Y 0.767 0.017 0.000
Y 0.983 0.767 0.000
Be 0.075 0.432 0.500
Be 0.115 0.517 0.000
Be 0.432 0.925 0.500
Be 0.483 0.115 0.000
Be 0.517 0.885 0.000
Be 0.568 0.075 0.500
Be 0.885 0.483 0.000
Be 0.925 0.568 0.500
```

Computed properties:
- space-group type = P4/m
- calculated formation energy (kcal/mol of atoms) = 5.06
- energy relative to the lowest polymorph listed for this composition (kJ/mol of formula units) = 34.4

No. 6
Material: YBe
Method: DFT, GGA-PBE
State: relaxed Values from VASP.

Cell and atoms, written as Quantum ESPRESSO input:
```
&SYSTEM
  ibrav = 0, nat = 8, ntyp = 2
/
ATOMIC_SPECIES
Y 88.91 Y.upf
Be 9.01 Be.upf
CELL_PARAMETERS angstrom
5.521 0.000 0.000
0.000 5.521 0.000
0.000 0.000 5.637
ATOMIC_POSITIONS crystal
Y 0.194 0.194 0.000
Y 0.306 0.694 0.500
Y 0.694 0.306 0.500
Y 0.806 0.806 0.000
Be 0.150 0.150 0.500
Be 0.350 0.650 0.000
Be 0.650 0.350 0.000
Be 0.850 0.850 0.500
```

Computed properties:
- space-group type = P4_2/mnm
- calculated formation energy (kcal/mol of atoms) = 8.16
- energy relative to the lowest polymorph listed for this composition (kJ/mol of formula units) = 60.2